No. 1
PBE Mg3ZrBr, optimized geometry; density of states at the Fermi level = 3.0 states/eV/f.u.; energy = -12.39 eV per cell; ΔE_f (raw) = 524 meV per atom; calculated volume = 27.0 A^3/atom
1.0
-0.860 5.047 0.285
-1.176 -0.481 4.968
4.917 0.768 1.238
Br Mg Zr
1 3 1
direct
0.000 0.000 0.000
0.000 0.500 0.000
0.500 0.000 0.000
0.000 0.000 0.500
0.500 0.500 0.500

---

No. 2
PBE Nd3Sm2Ho2, optimized geometry; density of states at the Fermi level = 10.7 states/eV/f.u.; energy = -32.10 eV per cell; calculated volume = 33.9 A^3/atom
1.0
3.542 0.000 0.000
0.000 8.610 -0.739
-1.771 -3.605 8.099
Nd Sm Ho
3 2 2
direct
0.787 0.203 0.574
0.213 0.797 0.426
0.000 0.500 0.000
0.435 0.089 0.871
0.565 0.911 0.129
0.853 0.671 0.707
0.147 0.329 0.293